Below is a relaxed structure of Mg14MnNiO16, with properties calculated at the GGA-PBEsol level.

Lattice parameters (Å, degrees): 8.447 8.447 4.222 90.00 90.00 90.00
Positions (direct):
Mg 0.000 0.246 0.000
Mg 0.000 0.500 0.500
Mg 0.000 0.754 0.000
Mg 0.246 0.000 0.000
Mg 0.247 0.247 0.500
Mg 0.247 0.500 0.000
Mg 0.247 0.753 0.500
Mg 0.500 0.000 0.500
Mg 0.500 0.247 0.000
Mg 0.500 0.753 0.000
Mg 0.753 0.247 0.500
Mg 0.753 0.500 0.000
Mg 0.753 0.753 0.500
Mg 0.754 0.000 0.000
Mn 0.500 0.500 0.500
Ni 0.000 0.000 0.500
O 0.000 0.000 0.000
O 0.000 0.252 0.500
O 0.000 0.500 0.000
O 0.000 0.748 0.500
O 0.247 0.500 0.500
O 0.250 0.250 0.000
O 0.250 0.750 0.000
O 0.252 0.000 0.500
O 0.500 0.000 0.000
O 0.500 0.247 0.500
O 0.500 0.500 0.000
O 0.500 0.753 0.500
O 0.748 0.000 0.500
O 0.750 0.250 0.000
O 0.750 0.750 0.000
O 0.753 0.500 0.500

## Properties
energy	-6.3805	eV/atom
ΔE_f (raw)	-80.229	eV/f.u.